A geometry-optimized CsAcPb2O4 structure, computed with PBE.

```
CsAcPb2O4
1.0
4.3008 0.0000 0.0000
0.0000 4.3008 0.0000
0.0000 0.0000 9.3560
Cs Ac Pb O
1 1 2 4
direct
0.0000 0.0000 0.0000
0.0000 0.0000 0.5000
0.5000 0.5000 0.2390
0.5000 0.5000 0.7610
0.0000 0.5000 0.3361
0.0000 0.5000 0.6639
0.5000 0.0000 0.3361
0.5000 0.0000 0.6639
```

Computed properties:
DOS at the Fermi energy: 0.7 states/eV/cell
space group: P4/mmm



A geometry-optimized CsAc4Pb3O12 structure, computed with PBE.

```
CsAc4Pb3O12
1.0
-4.5876 4.5876 4.5876
4.5876 -4.5876 4.5876
4.5876 4.5876 -4.5876
Cs Ac Pb O
1 4 3 12
direct
0.0000 0.0000 0.0000
0.0000 0.0000 0.5000
0.0000 0.5000 0.0000
0.5000 0.0000 0.0000
0.5000 0.5000 0.5000
0.0000 0.5000 0.5000
0.5000 0.0000 0.5000
0.5000 0.5000 0.0000
0.1617 0.3282 0.8335
0.1665 0.4947 0.3282
0.1665 0.8383 0.6718
0.3282 0.1665 0.4947
0.3282 0.8335 0.1617
0.4947 0.3282 0.1665
0.5053 0.6718 0.8335
0.6718 0.1665 0.8383
0.6718 0.8335 0.5053
0.8335 0.1617 0.3282
0.8335 0.5053 0.6718
0.8383 0.6718 0.1665
```

Computed properties:
DOS at the Fermi energy: 6.9 states/eV/cell
space group: Im-3



A geometry-optimized Cs2Ac2PbO6 structure, computed with PBE.

```
Cs2Ac2PbO6
1.0
3.2548 -5.5982 0.0000
3.2548 5.5982 0.0000
-1.8231 0.0000 7.1345
Cs Ac Pb O
2 2 1 6
direct
0.1623 0.8377 0.0000
0.8377 0.1623 0.0000
0.3350 0.6650 0.5000
0.6650 0.3350 0.5000
0.0000 0.0000 0.5000
0.0412 0.3562 0.6610
0.2419 0.2419 0.3321
0.3562 0.0412 0.6610
0.6438 0.9588 0.3390
0.7581 0.7581 0.6679
0.9588 0.6438 0.3390
```

Computed properties:
space group: C2/m



A geometry-optimized Cs2AcPbO4 structure, computed with PBE.

```
Cs2AcPbO4
1.0
6.6900 0.0000 0.0000
0.0000 6.6900 0.0000
0.0000 0.0000 9.7132
Cs Ac Pb O
4 2 2 8
direct
0.0000 0.0000 0.0000
0.0000 0.5000 0.2500
0.5000 0.0000 0.7500
0.5000 0.5000 0.5000
0.0000 0.0000 0.5000
0.5000 0.5000 0.0000
0.0000 0.5000 0.7500
0.5000 0.0000 0.2500
0.1558 0.7430 0.6289
0.2430 0.3442 0.8711
0.2570 0.1558 0.3711
0.3442 0.7570 0.1289
0.6558 0.2430 0.1289
0.7430 0.8442 0.3711
0.7570 0.6558 0.8711
0.8442 0.2570 0.6289
```

Computed properties:
DOS at the Fermi energy: 5.8 states/eV/cell
space group: I-4



Number 1: total moment 0.0 μB/f.u., E -5.81 eV per atom, formation energy without anion corrections -1789 meV per atom. Number 2: total moment 0.0 μB/f.u., E -6.45 eV per atom, formation energy without anion corrections -2054 meV per atom. Number 3: total moment 0.0 μB/f.u., E -6.01 eV per atom, formation energy without anion corrections -2062 meV per atom. Number 4: total moment 0.7 μB/f.u., E -5.41 eV per atom, formation energy without anion corrections -1736 meV per atom.